one) Below is crystalline Zn3Cu4 at its relaxed geometry, with properties calculated at the PBE level.

abc: 3.026 10.140 3.026
angles: 81.42 90.00 98.58
Fractional positions:
Cu  0.430  0.859  0.570
Cu  0.861  0.722  0.139
Cu  0.139  0.278  0.861
Cu  0.570  0.141  0.430
Zn  0.000  0.000  0.000
Zn  0.291  0.582  0.709
Zn  0.709  0.418  0.291

SG ... I4/mmm, No. 139
Density of states at the Fermi level ... 1.7 states/eV/f.u.
Crystal system ... tetragonal


two) Below is crystalline Zn3Cu4 at its relaxed geometry, with properties calculated at the PBE level.

abc: 4.844 4.844 4.844
angles: 90.00 90.00 90.00
Fractional positions:
Zn  0.000  0.000  0.500
Zn  0.000  0.500  0.000
Zn  0.500  0.000  0.000
Cu  0.000  0.000  0.000
Cu  0.000  0.500  0.500
Cu  0.500  0.500  0.000
Cu  0.500  0.000  0.500

SG ... Pm-3m, No. 221
Density of states at the Fermi level ... 3.0 states/eV/f.u.
Crystal system ... cubic


three) Below is crystalline Zn3Cu4 at its relaxed geometry, with properties calculated at the PBE level.

abc: 2.744 3.393 9.934
angles: 99.83 97.94 90.00
Fractional positions:
Cu  0.428  0.928  0.856
Cu  0.572  0.072  0.144
Cu  0.715  0.215  0.431
Cu  0.285  0.785  0.569
Zn  0.855  0.355  0.709
Zn  0.000  0.500  0.000
Zn  0.145  0.645  0.291

SG ... Immm, No. 71
Density of states at the Fermi level ... 2.0 states/eV/f.u.
Crystal system ... orthorhombic


four) Below is crystalline Zn3Cu4 at its relaxed geometry, with properties calculated at the PBE level.

abc: 4.841 4.841 4.648
angles: 90.00 90.00 120.00
Fractional positions:
Cu  0.667  0.333  0.500
Cu  0.000  0.000  0.255
Cu  0.000  0.000  0.745
Cu  0.333  0.667  0.500
Zn  0.500  0.000  0.000
Zn  0.500  0.500  0.000
Zn  0.000  0.500  0.000

SG ... P6/mmm, No. 191
Density of states at the Fermi level ... 1.5 states/eV/f.u.
Crystal system ... hexagonal


Which of them is the least stable? Correct choice: two).